No. 1
Computed, not measured: an optimized crystal structure of RbCaCl3 at the PBE level of DFT.

formation energy without anion corrections	-2214	meV/atom

a b c (Å): 18.2653 7.5194 7.5194
angles (deg): 137.78 144.61 35.39
Fractional positions:
Cl 0.0460 0.6200 0.3800
Cl 0.9540 0.3800 0.6200
Cl 0.1855 0.7456 0.2544
Cl 0.6266 0.2250 0.7750
Cl 0.8145 0.2544 0.7456
Cl 0.3734 0.7750 0.2250
Rb 0.6093 0.0147 0.9853
Rb 0.3907 0.9853 0.0147
Ca 0.9163 0.9532 0.0468
Ca 0.0837 0.0468 0.9532

---

No. 2
Computed, not measured: an optimized crystal structure of Si3PH at the PBE level of DFT.

relative energy among the computed polymorphs	0.000	eV/atom

a b c (Å): 3.9826 3.9826 3.9826
angles (deg): 90.00 90.00 90.00
Fractional positions:
Si 0.0000 0.0000 0.5000
Si 0.0000 0.5000 0.0000
Si 0.5000 0.0000 0.0000
H 0.0000 0.0000 0.0000
P 0.5000 0.5000 0.5000

---

No. 3
Computed, not measured: an optimized crystal structure of Tl2Te at the PBE level of DFT.

formation energy without anion corrections	-298	meV/atom
relative energy among the computed polymorphs	0.000	eV/atom

a b c (Å): 9.1551 9.2848 32.0553
angles (deg): 98.00 90.00 119.54
Fractional positions:
Tl 0.0649 0.5841 0.0650
Tl 0.3959 0.7013 0.3022
Tl 0.2604 0.9886 0.3525
Tl 0.4840 0.4486 0.1233
Tl 0.2733 0.0827 0.8100
Tl 0.1717 0.2160 0.2421
Tl 0.0994 0.2633 0.5378
Tl 0.0443 0.2159 0.7421
Tl 0.1907 0.9172 0.6900
Tl 0.8395 0.8429 0.0712
Tl 0.5566 0.2654 0.9981
Tl 0.7087 0.2654 0.4981
Tl 0.3064 0.8243 0.9118
Tl 0.9351 0.4159 0.9350
Tl 0.8283 0.7840 0.7579
Tl 0.3054 0.7012 0.8022
Tl 0.5192 0.5841 0.5650
Tl 0.9557 0.7841 0.2579
Tl 0.4434 0.7346 0.0019
Tl 0.6018 0.3925 0.3121
Tl 0.2093 0.6075 0.1879
Tl 0.6946 0.2988 0.1978
Tl 0.0034 0.8429 0.5712
Tl 0.5160 0.5514 0.8767
Tl 0.8093 0.0828 0.3100
Tl 0.1640 0.2633 0.0378
Tl 0.7267 0.9173 0.1900
Tl 0.1605 0.1571 0.9288
Tl 0.2913 0.7346 0.5019
Tl 0.8360 0.7367 0.9622
Tl 0.9006 0.7367 0.4622
Tl 0.7907 0.3925 0.8121
Tl 0.9966 0.1571 0.4288
Tl 0.9645 0.4486 0.6232
Tl 0.7281 0.9886 0.8525
Tl 0.3982 0.6075 0.6879
Tl 0.4821 0.1756 0.5882
Tl 0.4808 0.4159 0.4350
Tl 0.7396 0.0114 0.6475
Tl 0.6041 0.2987 0.6978
Tl 0.5179 0.8244 0.4118
Tl 0.6936 0.1757 0.0882
Tl 0.0355 0.5514 0.3768
Tl 0.2719 0.0114 0.1475
Te 0.3203 0.7807 0.6056
Te 0.5396 0.2193 0.8943
Te 0.0904 0.3215 0.8520
Te 0.8208 0.7942 0.3704
Te 0.9734 0.7942 0.8704
Te 0.9846 0.4634 0.2736
Te 0.3986 0.0000 0.2500
Te 0.2311 0.3215 0.3520
Te 0.6797 0.2193 0.3944
Te 0.0266 0.2058 0.1296
Te 0.7872 0.0757 0.9866
Te 0.6014 0.0000 0.7500
Te 0.2886 0.0757 0.4866
Te 0.1792 0.2058 0.6296
Te 0.4788 0.4634 0.7736
Te 0.2128 0.9243 0.0134
Te 0.9096 0.6785 0.1480
Te 0.7114 0.9243 0.5134
Te 0.5212 0.5366 0.2264
Te 0.7689 0.6785 0.6480
Te 0.0154 0.5366 0.7264
Te 0.4604 0.7807 0.1057